1.
Density functional theory data (PBE-GGA) for a geometry-optimized SrAc2ReN4 structure.

Calculated values
As for the energy: -7.579 eV/atom. The calculation puts the calculated volume at 19.4 A^3/atom. The value obtained for the magnetization is 0.100 μB per atom.

a = 3.7373 Å, b = 6.7295 Å, c = 12.8662 Å
α = 90.00°, β = 90.00°, γ = 106.12°
Last column: magnetic moment on the atom in μB.
Sites, in units of the cell vectors:
Sr1 0.1164 0.2329 0.7500  0.04
Sr2 0.8836 0.7671 0.2500  0.04
Ac1 0.3686 0.7372 0.5383  0.02
Ac2 0.6314 0.2628 0.0383  0.02
Ac3 0.6314 0.2628 0.4617  0.02
Ac4 0.3686 0.7372 0.9617  0.02
Re1 0.8337 0.6673 0.7500  0.38
Re2 0.1663 0.3327 0.2500  0.38
N1 0.2626 0.5252 0.1351  0.02
N2 0.7374 0.4748 0.6351  0.02
N3 0.7374 0.4748 0.8649  0.02
N4 0.2626 0.5252 0.3649  0.02
N5 0.0000 0.0000 0.5000  0.01
N6 0.0000 0.0000 0.0000  0.01
N7 0.3884 0.7768 0.7500  0.01
N8 0.6116 0.2232 0.2500  0.01

---

2.
Density functional theory data (PBE-GGA) for a geometry-optimized LiTb2In3Te6 structure.

Calculated values
As for the energy: -3.977 eV/atom. The calculation puts the calculated volume at 31.7 A^3/atom. The value obtained for the magnetization is 0.000 μB per atom.

a = 7.6060 Å, b = 7.6060 Å, c = 8.0119 Å
α = 99.08°, β = 99.08°, γ = 120.16°
Sites, in units of the cell vectors:
Li1 0.0000 0.0000 0.0000
Tb1 0.3342 0.6658 0.0000
Tb2 0.6658 0.3342 0.0000
In1 0.1704 0.8296 0.5000
In2 0.8296 0.1704 0.5000
In3 0.5000 0.5000 0.5000
Te1 0.9228 0.5866 0.7653
Te2 0.7441 0.7441 0.2344
Te3 0.0772 0.4134 0.2347
Te4 0.5866 0.9228 0.7653
Te5 0.2559 0.2559 0.7656
Te6 0.4134 0.0772 0.2347

---

3.
Density functional theory data (PBE-GGA) for a geometry-optimized LaNd3Au structure.

Calculated values
As for the energy: -4.767 eV/atom. The calculation puts the calculated volume at 31.9 A^3/atom. The calculation puts the formation energy from the elements at -1.32 eV per formula unit. The value obtained for the magnetization is 0.000 μB per atom.

a = 5.4941 Å, b = 6.8754 Å, c = 8.5464 Å
α = 98.67°, β = 90.00°, γ = 90.00°
Sites, in units of the cell vectors:
La1 0.3755 0.2649 0.7923
La2 0.8755 0.0880 0.1091
Nd1 0.3756 0.4589 0.2302
Nd2 0.3755 0.8109 0.9428
Nd3 0.8757 0.3766 0.5100
Nd4 0.8756 0.8938 0.6713
Nd5 0.8755 0.5420 0.9588
Nd6 0.3758 0.9760 0.3915
Au1 0.3758 0.6204 0.6002
Au2 0.8757 0.7324 0.3014

---

4.
Density functional theory data (PBE-GGA) for a geometry-optimized RbSnTe3As structure.

Calculated values
As for the energy: -3.553 eV/atom. The calculation puts the calculated volume at 37.4 A^3/atom. The value obtained for the magnetization is 0.000 μB per atom.

a = 4.3185 Å, b = 9.5741 Å, c = 11.6150 Å
α = 110.92°, β = 90.00°, γ = 90.00°
Sites, in units of the cell vectors:
Rb1 0.2500 0.2207 0.2661
Rb2 0.7500 0.7793 0.7339
Sn1 0.2500 0.1324 0.5579
Sn2 0.7500 0.8676 0.4421
Te1 0.7500 0.8592 0.1901
Te2 0.2500 0.1408 0.8099
Te3 0.2500 0.6465 0.4181
Te4 0.7500 0.3535 0.5819
Te5 0.7500 0.4149 0.1032
Te6 0.2500 0.5851 0.8968
As1 0.2500 0.6327 0.1455
As2 0.7500 0.3673 0.8545

---

5.
Density functional theory data (PBE-GGA) for a geometry-optimized PPdN2 structure.

Calculated values
As for the energy: -6.514 eV/atom. The calculation puts the calculated volume at 14.5 A^3/atom. The value obtained for the magnetization is 0.000 μB per atom.

a = 3.6248 Å, b = 3.3914 Å, c = 9.4336 Å
α = 90.00°, β = 90.00°, γ = 90.00°
Sites, in units of the cell vectors:
P1 0.0000 0.0000 0.1705
P2 0.0000 0.5000 0.6705
Pd1 0.0000 0.0000 0.8273
Pd2 0.0000 0.5000 0.3273
N1 0.6744 0.0000 0.0340
N2 0.3256 0.0000 0.0340
N3 0.6744 0.5000 0.5340
N4 0.3256 0.5000 0.5340

---

6.
Density functional theory data (PBE-GGA) for a geometry-optimized Na2HAu2 structure.

Calculated values
As for the energy: -2.479 eV/atom. The calculation puts the calculated volume at 17.4 A^3/atom. The value obtained for the magnetization is 0.000 μB per atom.

a = 5.8270 Å, b = 5.8270 Å, c = 5.1206 Å
α = 90.00°, β = 90.00°, γ = 90.00°
Sites, in units of the cell vectors:
Na1 0.1704 0.6704 0.5000
Na2 0.6704 0.8296 0.5000
Na3 0.8296 0.3296 0.5000
Na4 0.3296 0.1704 0.5000
Au1 0.3310 0.8310 0.0000
Au2 0.8310 0.6690 0.0000
Au3 0.6690 0.1690 0.0000
Au4 0.1690 0.3310 0.0000
H1 0.0000 0.0000 0.0000
H2 0.5000 0.5000 0.0000

---

Copy entry 3 word for word.
Density functional theory data (PBE-GGA) for a geometry-optimized LaNd3Au structure.

Calculated values
As for the energy: -4.767 eV/atom. The calculation puts the calculated volume at 31.9 A^3/atom. The calculation puts the formation energy from the elements at -1.32 eV per formula unit. The value obtained for the magnetization is 0.000 μB per atom.

a = 5.4941 Å, b = 6.8754 Å, c = 8.5464 Å
α = 98.67°, β = 90.00°, γ = 90.00°
Sites, in units of the cell vectors:
La1 0.3755 0.2649 0.7923
La2 0.8755 0.0880 0.1091
Nd1 0.3756 0.4589 0.2302
Nd2 0.3755 0.8109 0.9428
Nd3 0.8757 0.3766 0.5100
Nd4 0.8756 0.8938 0.6713
Nd5 0.8755 0.5420 0.9588
Nd6 0.3758 0.9760 0.3915
Au1 0.3758 0.6204 0.6002
Au2 0.8757 0.7324 0.3014

---

Question: The highest energy belongs to which entry?
Answer: Na2HAu2